# UZnRh (GGA-PBE, relaxed)
data_UZnRh
_chemical_formula_sum 'U2 Zn2 Rh2'
_cell_length_a 3.0726
_cell_length_b 3.0726
_cell_length_c 11.2418
_cell_angle_alpha 90.00
_cell_angle_beta 90.00
_cell_angle_gamma 90.00
_symmetry_space_group_name_H-M 'I 4 m m'
_symmetry_Int_Tables_number 107
_symmetry_space_group_name_Hall 'I 4 -2'
loop_
_atom_site_label
_atom_site_type_symbol
_atom_site_fract_x
_atom_site_fract_y
_atom_site_fract_z
U1 U 0.0000 0.0000 0.0000
Zn1 Zn 0.0000 0.0000 0.3015
Rh1 Rh 0.0000 0.0000 0.6619
# E_form (kJ/mol of atoms): -21.44
# Crystal system: tetragonal